No. 1
A plane-wave DFT calculation with GGA-PBEsol was carried out for a geometry-optimized KIn2Pb structure.

The structure in POSCAR format:
```
KIn2Pb
1.0
3.5429 0.0000 0.0000
0.0000 4.4194 0.0000
0.0000 0.0000 7.8555
In K Pb
2 1 1
direct
0.0000 0.0000 0.2949 In
0.0000 0.0000 0.7051 In
0.5000 0.5000 0.0000 K
0.5000 0.5000 0.5000 Pb
```

Calculated values
Magnetic moment, μB per formula unit: 0.00
Total energy, eV for the cell shown: -11.4
SG: Pmmm (47)
Formation enthalpy at 0 K, meV/atom: -67.6



No. 2
A plane-wave DFT calculation with GGA-PBEsol was carried out for a geometry-optimized KIn2Pb structure.

The structure in POSCAR format:
```
KIn2Pb
1.0
-0.0180 -2.5151 2.4057
4.9537 0.9326 -1.5057
-0.3138 5.0376 5.2645
In Pb K
2 1 1
direct
0.9998 0.9997 0.9880 In
0.2562 0.5124 0.8120 In
0.7429 0.4857 0.1955 Pb
0.5011 0.0022 0.5045 K
```

Calculated values
Magnetic moment, μB per formula unit: 0.00
Total energy, eV for the cell shown: -11.4
SG: Cm (8)
Formation enthalpy at 0 K, meV/atom: -64.6